Entry 1:
The following is a GGA-PBE calculation of a relaxed CsInAs2Se crystal, from Alexandria via LeMat-Bulk.

**Energy**: -2.049 eV per atom
**Energy above the most stable polymorph in this dataset**: 1.062 eV per atom
**Formation energy from raw total energies**: 1226 meV per atom

The structure in POSCAR format:
```
CsInAs2Se
1.0
6.0019 0.0000 0.0000
0.0000 6.0019 0.0000
0.0000 0.0000 6.1273
Cs In As Se
1 1 2 1
Direct
0.0000 0.0000 0.0000 Cs
0.5000 0.5000 0.5000 In
0.0000 0.5000 0.0000 As
0.5000 0.0000 0.0000 As
0.0000 0.0000 0.5000 Se
```

***

Entry 2:
The following is a GGA-PBE calculation of a relaxed CsInSnAs crystal, from Alexandria via LeMat-Bulk.

**Energy**: -3.234 eV per atom
**Energy of formation**: -67 kJ/mol of formula units

The structure in POSCAR format:
```
CsInSnAs
1.0
4.6184 0.0000 0.0000
0.0000 4.6184 0.0000
0.0000 0.0000 14.3090
Cs In Sn As
2 2 2 2
Direct
0.2500 0.2500 0.2397 Cs
0.7500 0.7500 0.7603 Cs
0.2500 0.7500 0.5000 In
0.7500 0.2500 0.5000 In
0.2500 0.7500 0.0000 Sn
0.7500 0.2500 0.0000 Sn
0.2500 0.2500 0.6100 As
0.7500 0.7500 0.3900 As
```

***

Entry 3:
The following is a GGA-PBE calculation of a relaxed Cs2In2Sn2As crystal, from Alexandria via LeMat-Bulk.

**Energy**: -2.963 eV per atom
**Energy of formation**: -87 kJ/mol of formula units

The structure in POSCAR format:
```
Cs2In2Sn2As
1.0
4.5751 0.0000 0.0000
2.2736 7.6830 0.0000
2.2849 2.8616 8.6124
Cs In Sn As
2 2 2 1
Direct
0.0479 0.1647 0.2382 Cs
0.9521 0.8353 0.7618 Cs
0.3213 0.6238 0.2347 In
0.6787 0.3762 0.7653 In
0.3013 0.3366 0.5601 Sn
0.6987 0.6634 0.4399 Sn
0.5000 0.5000 0.0000 As
```

***

Entry 4:
The following is a GGA-PBE calculation of a relaxed Cs2In4Sn3As crystal, from Alexandria via LeMat-Bulk.

**Energy**: -3.105 eV per atom
**Energy of formation**: -167 kJ/mol of formula units

The structure in POSCAR format:
```
Cs2In4Sn3As
1.0
5.2877 0.0000 0.0000
0.0000 5.2877 0.0000
0.0000 0.0000 11.7542
Cs In Sn As
2 4 3 1
Direct
0.0000 0.5000 0.2424 Cs
0.5000 0.0000 0.7576 Cs
0.0000 0.0000 0.5000 In
0.0000 0.5000 0.8838 In
0.5000 0.0000 0.1162 In
0.5000 0.5000 0.5000 In
0.0000 0.0000 0.0000 Sn
0.0000 0.5000 0.6307 Sn
0.5000 0.0000 0.3693 Sn
0.5000 0.5000 0.0000 As
```

***

Which of these has the lowest energy?
CsInSnAs